DFT (GGA-PBEsol) results for KC8 after structural relaxation.

Lattice parameters (Å, degrees): 4.966 8.600 20.937 90.00 90.00 90.00
Space group Fddd (No. 70, origin choice 2)
Asymmetric unit:
K: 0.125 0.125 0.125 (multiplicity 8)
C: 0.125 0.292 0.000 (multiplicity 32)
C: 0.125 0.292 0.501 (multiplicity 32)

Crystal system ... orthorhombic
ΔH_f (0 K) ... -48 kJ/mol of formula units
Mass density ... 2.008 g/cm³
N(E_F) ... 1.60 states/eV/f.u.
Total energy ... -8.75 eV/atom